# BaNdNO

An optimized crystal structure of BaNdNO (GGA-PBE, OQMD).

Properties
energy: -0.4993 Ry per atom

Cell lengths 3.993, 7.345, 6.393 Å; angles 90.00, 90.00, 90.00 degrees
Atoms (fractional coordinates):
Ba (0.000, 0.164, 0.000)
Ba (0.000, 0.836, 0.500)
Nd (0.500, 0.344, 0.509)
Nd (0.500, 0.656, 0.009)
N (0.000, 0.196, 0.422)
N (0.000, 0.804, 0.922)
O (0.500, 0.363, 0.870)
O (0.500, 0.637, 0.370)


# BaNdNO

An optimized crystal structure of BaNdNO (GGA-PBE, OQMD).

Properties
energy: -0.5000 Ry per atom

Cell lengths 4.158, 7.266, 6.158 Å; angles 90.00, 90.00, 90.00 degrees
Atoms (fractional coordinates):
Ba (0.000, 0.175, 0.000)
Ba (0.000, 0.825, 0.500)
Nd (0.500, 0.340, 0.504)
Nd (0.500, 0.660, 0.004)
N (0.500, 0.363, 0.876)
N (0.500, 0.637, 0.376)
O (0.000, 0.192, 0.438)
O (0.000, 0.808, 0.938)


# BaNdNO

An optimized crystal structure of BaNdNO (GGA-PBE, OQMD).

Properties
energy: -0.4913 Ry per atom

Cell lengths 5.282, 5.282, 5.495 Å; angles 90.00, 90.00, 90.00 degrees
Atoms (fractional coordinates):
Ba (0.250, 0.250, 0.002)
Ba (0.750, 0.750, 0.998)
Nd (0.250, 0.750, 0.500)
Nd (0.750, 0.250, 0.500)
N (0.250, 0.250, 0.505)
N (0.750, 0.750, 0.495)
O (0.250, 0.750, 0.000)
O (0.750, 0.250, 0.000)


no.,total moment (Bohr magnetons per cell)
1,0.001
2,0.001
3,0.000